{
  "formula": "Be3Sb2",
  "functional": "PBE-GGA",
  "state": "optimized geometry",
  "dos_at_fermi_per_ev_cell": 1.78,
  "formation_energy_uncorrected_ev_per_atom": 0.4814,
  "mass_density_kg_m3": 5466,
  "polymorph_energy_ev_per_atom": 0.0000,
  "space_group": "Fdd2",
  "final_energy_ev_per_atom": -3.403,
  "cell": [[0.000, 3.754, 7.437], [2.944, 0.000, 7.437], [2.944, 3.754, 0.000]],
  "species": ["Be", "Be", "Be", "Be", "Be", "Be", "Sb", "Sb", "Sb", "Sb"],
  "frac_coords": [[0.940, 0.060, 0.060], [0.525, 0.218, 0.413], [0.032, 0.725, 0.406], [0.844, 0.413, 0.218], [0.190, 0.310, 0.310], [0.837, 0.406, 0.725], [0.829, 0.771, 0.037], [0.213, 0.887, 0.421], [0.363, 0.037, 0.771], [0.479, 0.421, 0.887]]
}